Compound: SrInRu2
Source: Alexandria via LeMat-Bulk
Functional: PBE-GGA
Structure: optimized geometry

abc: 3.5188 3.5188 6.8482
angles: 90.00 90.00 90.00
Positions (direct):
Sr: 0.0000 0.0000 0.0000
In: 0.0000 0.0000 0.5000
Ru: 0.5000 0.5000 0.3132
Ru: 0.5000 0.5000 0.6868

Output
* energy of formation: 0.39 eV/atom
* SG: No. 123
* density: 7.923 Mg/m³